Entry 1:
A relaxed structure of Li2Nd2YSi2, computed with GGA-PBE.

```
data_Li2Nd2YSi2
_cell_length_a 4.4181
_cell_length_b 4.4181
_cell_length_c 28.6044
_cell_angle_alpha 90.00
_cell_angle_beta 90.00
_cell_angle_gamma 120.00
_symmetry_space_group_name_H-M 'R -3 m'
_symmetry_Int_Tables_number 166
_symmetry_space_group_name_Hall '-R 3 2"'
loop_
_atom_site_label
_atom_site_type_symbol
_atom_site_fract_x
_atom_site_fract_y
_atom_site_fract_z
Li1 Li 0.0000 0.0000 0.1108
Nd1 Nd 0.0000 0.0000 0.3769
Y1 Y 0.0000 0.0000 0.5000
Si1 Si 0.0000 0.0000 0.2288
```

Properties
Crystal system: trigonal
Total magnetic moment, Bohr magnetons per cell: 0.00
Raw total energy, eV/atom: -4.7814
Formation energy without anion corrections, eV per formula unit: -2.80
D(E_F), states/eV/f.u.: 4.537

=====

Entry 2:
A relaxed structure of Li2NdY2Si2, computed with GGA-PBE.

```
data_Li2NdY2Si2
_cell_length_a 4.4768
_cell_length_b 4.4768
_cell_length_c 27.0231
_cell_angle_alpha 90.00
_cell_angle_beta 90.00
_cell_angle_gamma 120.00
_symmetry_space_group_name_H-M 'R -3 m'
_symmetry_Int_Tables_number 166
_symmetry_space_group_name_Hall '-R 3 2"'
loop_
_atom_site_label
_atom_site_type_symbol
_atom_site_fract_x
_atom_site_fract_y
_atom_site_fract_z
Li1 Li 0.0000 0.0000 0.0958
Nd1 Nd 0.0000 0.0000 0.5000
Y1 Y 0.0000 0.0000 0.3722
Si1 Si 0.0000 0.0000 0.2403
```

Properties
Crystal system: trigonal
Total magnetic moment, Bohr magnetons per cell: 0.00
Raw total energy, eV/atom: -5.0366
Formation energy without anion corrections, eV per formula unit: -2.89
D(E_F), states/eV/f.u.: 3.465

=====

Entry 3:
A relaxed structure of LiNdYSi, computed with GGA-PBE.

```
data_LiNdYSi
_cell_length_a 7.166
_cell_length_b 7.166
_cell_length_c 7.166
_cell_angle_alpha 90.00
_cell_angle_beta 90.00
_cell_angle_gamma 90.00
_symmetry_space_group_name_H-M 'F -4 3 m'
_symmetry_Int_Tables_number 216
_symmetry_space_group_name_Hall 'F -4 2 3'
loop_
_atom_site_label
_atom_site_type_symbol
_atom_site_fract_x
_atom_site_fract_y
_atom_site_fract_z
Li1 Li 0.000 0.000 0.000
Nd1 Nd 0.250 0.250 0.750
Y1 Y 0.250 0.250 0.250
Si1 Si 0.000 0.000 0.500
```

Properties
Crystal system: cubic
Total magnetic moment, Bohr magnetons per cell: 0.00
Raw total energy, eV/atom: -5.0084
Formation energy without anion corrections, eV per formula unit: -1.46
D(E_F), states/eV/f.u.: 2.031

=====

Entry 4:
A relaxed structure of LiNdZnSi2, computed with GGA-PBE.

```
data_LiNdZnSi2
_cell_length_a 4.148
_cell_length_b 4.148
_cell_length_c 10.543
_cell_angle_alpha 90.00
_cell_angle_beta 90.00
_cell_angle_gamma 90.00
_symmetry_space_group_name_H-M 'I -4 m 2'
_symmetry_Int_Tables_number 119
_symmetry_space_group_name_Hall 'I -4 -2'
loop_
_atom_site_label
_atom_site_type_symbol
_atom_site_fract_x
_atom_site_fract_y
_atom_site_fract_z
Li1 Li 0.000 0.000 0.000
Nd1 Nd 0.000 0.500 0.750
Zn1 Zn 0.000 0.000 0.500
Si1 Si 0.000 0.500 0.138
```

Properties
Crystal system: tetragonal
Total magnetic moment, Bohr magnetons per cell: 0.00
Raw total energy, eV/atom: -4.2565
Formation energy without anion corrections, eV per formula unit: -2.48
D(E_F), states/eV/f.u.: 1.849

=====

- The lowest D(E_F) belongs to which entry?
  LiNdZnSi2

=====

- Number 1 is which compound?
  Li2Nd2YSi2